A geometry-optimized Y2MgBr structure. Source: Alexandria, functional PBE.

## Properties
DFT total energy in eV/cell: -18.02
Energy above the lowest structure with this stoichiometry in eV per atom: 0.061
Raw formation energy in eV per atom: -0.455

Unit cell a=3.547 b=3.547 c=10.001 alpha=90.00 beta=90.00 gamma=90.00
Element x y z (fractional)
Mg  0.500  0.500  0.785
Y  0.500  0.500  0.263
Y  0.000  0.000  0.007
Br  0.000  0.000  0.445

***

A geometry-optimized Y2MgBr structure. Source: Alexandria, functional PBE.

## Properties
DFT total energy in eV/cell: -32.35
Energy above the lowest structure with this stoichiometry in eV per atom: 0.522
Raw formation energy in eV per atom: 0.005

Unit cell a=4.714 b=4.714 c=11.641 alpha=78.32 beta=78.32 gamma=90.00
Element x y z (fractional)
Br  0.000  0.000  0.000
Br  0.750  0.250  0.500
Mg  0.250  0.750  0.500
Mg  0.500  0.500  0.000
Y  0.375  0.368  0.750
Y  0.632  0.125  0.250
Y  0.875  0.882  0.750
Y  0.118  0.625  0.250